A relaxed structure of CuB2Ir. Source: OQMD via LeMat-Bulk, functional PBE.

```
4
Lattice="-3.832 -0.456 0.556 -2.538 1.757 -2.382 -2.097 -2.115 -2.516" Properties=species:S:1:pos:R:3 pbc="T T T"
B 0.000 0.000 0.000
B -6.351 -0.610 -3.256
Cu -4.234 -0.407 -2.171
Ir -2.117 -0.203 -1.085
```

The calculation puts the calculated total energy at -5.332 eV/atom. The calculated volume is 10.48 Å³ per atom.